1.
This record from the Alexandria database describes an optimized crystal structure of Zn5As. The functional is PBE-GGA.

```
Zn5As
1.0
-2.8205 -2.8787 -4.6239
-1.0361 -4.8032 -3.6713
-5.3269 -4.1894 1.5146
Zn As
5 1
Direct
0.3628 0.3628 0.6672
0.0689 0.0689 0.3979
0.7706 0.7706 0.0270
0.3058 0.3058 0.3282
0.6412 0.6412 0.6803
0.0174 0.0174 0.0661
```

Output
* VASP energy: -1.7638 eV per atom
* distance to the lowest polymorph of the same formula: 0 meV/atom


2.
This record from the Alexandria database describes an optimized crystal structure of ZnAs3. The functional is PBE-GGA.

```
ZnAs3
1.0
-3.1682 -0.5458 -1.5922
-0.9032 -3.0170 2.8313
-2.2317 3.6586 3.1866
As Zn
3 1
Direct
0.0000 0.7825 0.5000
0.5000 0.3216 0.0000
0.5000 0.3804 0.5000
0.0000 0.8488 0.0000
```

Output
* VASP energy: -3.7544 eV per atom
* distance to the lowest polymorph of the same formula: 0 meV/atom


3.
This record from the Alexandria database describes an optimized crystal structure of Zn8As5. The functional is PBE-GGA.

```
Zn8As5
1.0
-3.5142 -2.7779 -6.3271
-1.3817 -3.3929 6.8321
-1.4919 6.2493 0.2118
Zn As
8 5
Direct
0.1295 0.9803 0.6735
0.1765 0.5803 0.7568
0.2760 0.8991 0.1751
0.6932 0.5440 0.6735
0.8235 0.4197 0.2432
0.7240 0.1009 0.8249
0.3068 0.4560 0.3265
0.8705 0.0197 0.3265
0.7271 0.2271 0.5000
0.3622 0.3886 0.7508
0.0000 0.0000 0.0000
0.2729 0.7729 0.5000
0.6378 0.6114 0.2492
```

Output
* VASP energy: -2.5575 eV per atom


4.
This record from the Alexandria database describes an optimized crystal structure of ZnAs3. The functional is PBE-GGA.

```
ZnAs3
1.0
4.0307 -6.1477 0.0000
4.0307 6.1477 0.0000
0.0000 0.0000 3.5718
As Zn
6 2
Direct
0.5935 0.9467 0.2500
0.9467 0.5935 0.7500
0.9184 0.0816 0.7500
0.0533 0.4065 0.2500
0.4065 0.0533 0.7500
0.0816 0.9184 0.2500
0.4238 0.5762 0.2500
0.5762 0.4238 0.7500
```

Output
* VASP energy: -3.6117 eV per atom
* distance to the lowest polymorph of the same formula: 143 meV/atom


5.
This record from the Alexandria database describes an optimized crystal structure of ZnAs. The functional is PBE-GGA.

```
ZnAs
1.0
3.7058 0.0000 0.0000
0.0000 5.2022 0.0000
0.0000 0.0000 3.8112
Zn As
2 2
Direct
0.0000 0.5000 0.2266
0.5000 0.0000 0.6068
0.0000 0.0000 0.1115
0.5000 0.5000 0.7218
```

Output
* VASP energy: -2.8759 eV per atom


6.
This record from the Alexandria database describes an optimized crystal structure of Zn3As2. The functional is PBE-GGA.

```
Zn3As2
1.0
14.6429 0.0226 0.0000
4.9805 13.7698 0.0000
-9.8117 -6.8962 8.4016
Zn As
48 32
Direct
0.6791 0.9615 0.0227
0.5555 0.5613 0.2314
0.9573 0.9400 0.2508
0.5385 0.8209 0.9773
0.6759 0.4445 0.0058
0.1892 0.4400 0.9826
0.9387 0.6564 0.9773
0.1759 0.1701 0.2314
0.3113 0.7885 0.2177
0.8113 0.5936 0.5227
0.5600 0.5427 0.7492
0.6945 0.4259 0.5058
0.3113 0.5799 0.5058
0.2115 0.4291 0.5227
0.0741 0.8055 0.4942
0.4566 0.2073 0.5174
0.4387 0.4615 0.2823
0.5608 0.8100 0.5174
0.8436 0.5613 0.0227
0.2934 0.0427 0.9826
0.4201 0.9259 0.7314
0.3436 0.3209 0.2823
0.1945 0.6887 0.2686
0.4064 0.9291 0.2177
0.7934 0.8108 0.2508
0.8299 0.0613 0.0058
0.8113 0.3055 0.7314
0.5709 0.0936 0.7823
0.2927 0.0434 0.4826
0.4573 0.2066 0.0174
0.9566 0.4392 0.2492
0.6892 0.7066 0.7492
0.0608 0.5434 0.7508
0.9201 0.1887 0.4942
0.0385 0.0613 0.7177
0.1900 0.7073 0.7508
0.1791 0.1564 0.7177
0.7927 0.3100 0.2492
0.9387 0.9445 0.7686
0.4387 0.6701 0.9942
0.0555 0.8241 0.9942
0.7115 0.1887 0.7823
0.5741 0.0799 0.2686
0.9064 0.6887 0.4773
0.0600 0.3108 0.0174
0.0709 0.2885 0.4773
0.6900 0.9392 0.4826
0.3299 0.3241 0.7686
0.1250 0.3509 0.7259
0.4851 0.0149 0.0000
0.3750 0.1250 0.2500
0.6009 0.8750 0.2259
0.5000 0.0000 0.5000
0.0149 0.4851 0.0000
0.7500 0.2500 0.5000
0.3750 0.1250 0.7500
0.6250 0.3991 0.2741
0.1491 0.3750 0.2741
0.2500 0.7500 0.5000
0.7500 0.7500 0.0000
0.7649 0.2649 0.0298
0.0000 0.0000 0.0000
0.8750 0.6250 0.2500
0.0000 0.5000 0.5000
0.8750 0.1250 0.2500
0.2649 0.2351 0.5000
0.3750 0.6250 0.7500
0.1009 0.8750 0.7259
0.9851 0.9851 0.4702
0.6491 0.3750 0.7741
0.6250 0.8991 0.7741
0.1250 0.8509 0.2259
0.2351 0.7351 0.9702
0.8750 0.6250 0.7500
0.5149 0.5149 0.5298
0.8750 0.1250 0.7500
0.2500 0.2500 0.0000
0.5000 0.5000 0.0000
0.3750 0.6250 0.2500
0.7351 0.7649 0.5000
```

Output
* VASP energy: -2.7005 eV per atom


7.
This record from the Alexandria database describes an optimized crystal structure of Zn3As. The functional is PBE-GGA.

```
Zn3As
1.0
5.8281 0.0000 0.0000
0.0000 6.2959 0.0000
0.0000 0.0000 7.7384
Zn As
12 4
Direct
0.6974 0.4304 0.4519
0.3026 0.5696 0.5481
0.8026 0.9304 0.0481
0.9589 0.7974 0.7500
0.1974 0.0696 0.9519
0.3026 0.5696 0.9519
0.5411 0.2974 0.7500
0.4589 0.7026 0.2500
0.0411 0.2026 0.2500
0.1974 0.0696 0.5481
0.6974 0.4304 0.0481
0.8026 0.9304 0.4519
0.5061 0.8862 0.7500
0.0061 0.6138 0.2500
0.9939 0.3862 0.7500
0.4939 0.1138 0.2500
```

Output
* VASP energy: -2.0595 eV per atom


8.
This record from the Alexandria database describes an optimized crystal structure of Zn3As. The functional is PBE-GGA.

```
Zn3As
1.0
4.6145 0.0000 0.0000
2.3073 3.9963 0.0000
2.3073 1.3321 3.7677
Zn As
3 1
Direct
0.7500 0.7500 0.7500
0.2500 0.2500 0.2500
0.5000 0.5000 0.5000
0.0000 0.0000 0.0000
```

Output
* VASP energy: -1.9040 eV per atom


9.
This record from the Alexandria database describes an optimized crystal structure of Zn3As. The functional is PBE-GGA.

```
Zn3As
1.0
-1.0588 0.7069 2.6696
-4.7605 -0.6652 -1.7120
0.1704 -4.3734 1.2256
Zn As
3 1
Direct
0.0000 0.5000 0.2879
0.5000 0.0000 0.5424
0.5000 0.5000 0.7868
0.0000 0.0000 0.0495
```

Output
* VASP energy: -1.9873 eV per atom


10.
This record from the Alexandria database describes an optimized crystal structure of ZnAs3. The functional is PBE-GGA.

```
ZnAs3
1.0
3.6253 0.0000 0.0000
0.0000 3.6253 0.0000
0.0000 0.0000 5.7279
As Zn
3 1
Direct
0.5000 0.5000 0.2500
0.0000 0.0000 0.5198
0.0000 0.0000 0.9802
0.5000 0.5000 0.7500
```

Output
* VASP energy: -3.4652 eV per atom
* distance to the lowest polymorph of the same formula: 289 meV/atom


11.
This record from the Alexandria database describes an optimized crystal structure of ZnAs3. The functional is PBE-GGA.

```
ZnAs3
1.0
2.8868 0.0521 0.0000
-0.8222 2.7677 0.0000
0.0000 0.0000 9.2492
Zn As
1 3
Direct
0.5000 0.5000 0.2500
0.0000 0.0000 0.4802
0.5000 0.5000 0.7500
0.0000 0.0000 0.0198
```

Output
* VASP energy: -3.4668 eV per atom
* distance to the lowest polymorph of the same formula: 288 meV/atom


12.
This record from the Alexandria database describes an optimized crystal structure of ZnAs. The functional is PBE-GGA.

```
ZnAs
1.0
-0.2728 -5.2626 -0.0305
2.6619 -0.1644 4.5451
-2.3764 0.1151 1.3960
Zn As
2 2
Direct
0.2500 0.2500 0.0005
0.7500 0.7500 0.9995
0.7500 0.2500 0.0000
0.2500 0.7500 0.0000
```

Output
* VASP energy: -2.8601 eV per atom


13.
This record from the Alexandria database describes an optimized crystal structure of Zn3As. The functional is PBE-GGA.

```
Zn3As
1.0
2.8468 0.0000 0.0000
-1.4234 2.4654 0.0000
0.0000 0.0000 9.5075
Zn As
3 1
Direct
0.6667 0.3333 0.7384
0.6667 0.3333 0.2616
0.0000 0.0000 0.5000
0.0000 0.0000 0.0000
```

Output
* VASP energy: -1.9622 eV per atom


14.
This record from the Alexandria database describes an optimized crystal structure of ZnAs. The functional is PBE-GGA.

```
ZnAs
1.0
-0.4429 -4.2098 -0.2710
1.0597 2.2363 -3.4675
4.8705 -0.6869 3.1176
Zn As
2 2
Direct
0.7679 0.9273 0.2950
0.2321 0.0727 0.7050
0.0862 0.5520 0.2229
0.9138 0.4480 0.7771
```

Output
* VASP energy: -3.0773 eV per atom


15.
This record from the Alexandria database describes an optimized crystal structure of Zn3As. The functional is PBE-GGA.

```
Zn3As
1.0
-1.7867 4.1935 1.7704
-3.3769 -2.1114 -2.8374
-1.0559 -1.4295 2.3204
As Zn
1 3
Direct
0.0000 0.0000 0.0000
0.5000 0.5000 0.0000
0.5000 0.0000 0.5000
0.0000 0.5000 0.5000
```

Output
* VASP energy: -1.9953 eV per atom


16.
This record from the Alexandria database describes an optimized crystal structure of Zn5As3. The functional is PBE-GGA.

```
Zn5As3
1.0
-2.7039 -5.9427 5.6473
1.4456 0.4072 -8.7001
6.3619 1.0389 2.6085
As Zn
6 10
Direct
0.5652 0.8209 0.5096
0.3056 0.0275 0.4647
0.7756 0.2718 0.1624
0.2479 0.2501 0.0232
0.1128 0.6176 0.8480
0.6206 0.6276 0.9962
0.3571 0.0587 0.1181
0.8937 0.1831 0.8915
0.0125 0.0387 0.3758
0.1783 0.6711 0.4986
0.7376 0.2048 0.5049
0.6022 0.5584 0.4178
0.2788 0.4675 0.6408
0.0577 0.8738 0.6901
0.7009 0.4761 0.7284
0.5469 0.8521 0.1298
```

Output
* VASP energy: -2.5567 eV per atom
* distance to the lowest polymorph of the same formula: 0 meV/atom


17.
This record from the Alexandria database describes an optimized crystal structure of ZnAs. The functional is PBE-GGA.

```
ZnAs
1.0
1.4210 6.1949 -0.0887
-1.4210 6.1949 -0.0887
0.0000 2.5729 6.6588
Zn As
3 3
Direct
0.6050 0.6050 0.6820
0.7691 0.7691 0.0297
0.0451 0.0451 0.3832
0.3976 0.3976 0.6720
0.0850 0.0850 0.0168
0.2649 0.2649 0.3831
```

Output
* VASP energy: -2.8300 eV per atom


18.
This record from the Alexandria database describes an optimized crystal structure of ZnAs. The functional is PBE-GGA.

```
ZnAs
1.0
2.9590 0.0000 0.0000
-1.4795 2.5625 0.0000
0.0000 0.0000 9.5652
As Zn
2 2
Direct
0.0000 0.0000 0.9612
0.6667 0.3333 0.2888
0.0000 0.0000 0.5159
0.6667 0.3333 0.7341
```

Output
* VASP energy: -2.7250 eV per atom


19.
This record from the Alexandria database describes an optimized crystal structure of ZnAs. The functional is PBE-GGA.

```
ZnAs
1.0
12.1654 0.0000 0.0000
0.0000 4.2913 0.0000
0.0000 0.0000 5.0111
Zn As
6 6
Direct
0.0000 0.9928 0.3808
0.1858 0.4272 0.7787
0.5000 0.0072 0.8808
0.6858 0.5728 0.2787
0.8142 0.4272 0.7787
0.3142 0.5728 0.2787
0.0000 0.4980 0.6200
0.7006 0.9172 0.7219
0.5000 0.5020 0.1200
0.2994 0.9172 0.7219
0.7994 0.0828 0.2219
0.2006 0.0828 0.2219
```

Output
* VASP energy: -2.9375 eV per atom


20.
This record from the Alexandria database describes an optimized crystal structure of ZnAs. The functional is PBE-GGA.

```
ZnAs
1.0
7.7935 0.0000 0.0000
0.0000 7.7935 0.0000
0.0000 0.0000 7.7935
As Zn
8 8
Direct
0.8350 0.8350 0.8350
0.6650 0.3350 0.6650
0.1650 0.1650 0.8350
0.3350 0.3350 0.3350
0.1650 0.8350 0.1650
0.3350 0.6650 0.6650
0.6650 0.6650 0.3350
0.8350 0.1650 0.1650
0.3421 0.6579 0.3421
0.1579 0.1579 0.1579
0.3421 0.3421 0.6579
0.1579 0.8421 0.8421
0.6579 0.3421 0.3421
0.6579 0.6579 0.6579
0.8421 0.8421 0.1579
0.8421 0.1579 0.8421
```

Output
* VASP energy: -2.7457 eV per atom


21.
This record from the Alexandria database describes an optimized crystal structure of ZnAs3. The functional is PBE-GGA.

```
ZnAs3
1.0
-0.6046 5.8337 2.1349
0.6814 1.3460 6.0564
2.0920 -1.9602 -5.5441
As Zn
3 1
Direct
0.1587 0.5000 0.6587
0.6459 0.6695 0.9763
0.3068 0.3305 0.9763
0.7220 0.0000 0.7220
```

Output
* VASP energy: -3.6140 eV per atom
* distance to the lowest polymorph of the same formula: 140 meV/atom


Number 1: ΔH_f (0 K) 73 meV per atom, magnetization 0.00 Bohr magnetons per cell. Number 2: ΔH_f (0 K) 51 meV per atom, magnetization 0.00 Bohr magnetons per cell. Number 3: ΔH_f (0 K) 15 meV per atom, magnetization 0.00 Bohr magnetons per cell. Number 4: ΔH_f (0 K) 194 meV per atom, magnetization 0.00 Bohr magnetons per cell. Number 5: ΔH_f (0 K) 86 meV per atom, magnetization 0.00 Bohr magnetons per cell. Number 6: ΔH_f (0 K) -76 meV per atom, magnetization 0.00 Bohr magnetons per cell. Number 7: ΔH_f (0 K) 58 meV per atom, magnetization 0.00 Bohr magnetons per cell. Number 8: ΔH_f (0 K) 214 meV per atom, magnetization 0.00 Bohr magnetons per cell. Number 9: ΔH_f (0 K) 131 meV per atom, magnetization 0.00 Bohr magnetons per cell. Number 10: ΔH_f (0 K) 340 meV per atom, magnetization 0.00 Bohr magnetons per cell. Number 11: ΔH_f (0 K) 339 meV per atom, magnetization 0.00 Bohr magnetons per cell. Number 12: ΔH_f (0 K) 102 meV per atom, magnetization 0.00 Bohr magnetons per cell. Number 13: ΔH_f (0 K) 156 meV per atom, magnetization 0.00 Bohr magnetons per cell. Number 14: ΔH_f (0 K) -116 meV per atom, magnetization 0.00 Bohr magnetons per cell. Number 15: ΔH_f (0 K) 123 meV per atom, magnetization 0.00 Bohr magnetons per cell. Number 16: ΔH_f (0 K) -17 meV per atom, magnetization 0.00 Bohr magnetons per cell. Number 17: ΔH_f (0 K) 132 meV per atom, magnetization 0.00 Bohr magnetons per cell. Number 18: ΔH_f (0 K) 237 meV per atom, magnetization 0.00 Bohr magnetons per cell. Number 19: ΔH_f (0 K) 24 meV per atom, magnetization 0.00 Bohr magnetons per cell. Number 20: ΔH_f (0 K) 216 meV per atom, magnetization 0.00 Bohr magnetons per cell. Number 21: ΔH_f (0 K) 192 meV per atom, magnetization 0.00 Bohr magnetons per cell.